Record 1
An optimized crystal structure of TlMoBr3. Source: Alexandria via LeMat-Bulk, functional GGA-PBE. Values from VASP.

Values from the calculation:
formation energy (no corrections)	-0.295	eV per atom
size of the total moment	4.00	μB per cell
VASP energy	-3.938	eV per atom
E above lowest polymorph	239.3	meV per atom
crystal system	cubic

Quantum ESPRESSO input file:
```
&SYSTEM
  ibrav = 0, nat = 5, ntyp = 3
/
ATOMIC_SPECIES
Br 79.90 Br.upf
Tl 204.38 Tl.upf
Mo 95.94 Mo.upf
CELL_PARAMETERS angstrom
-3.544 1.327 3.899
1.396 -4.452 2.784
3.875 2.818 2.562
ATOMIC_POSITIONS crystal
Br 0.000 0.500 0.000
Tl 0.500 0.500 0.500
Mo 0.000 0.000 0.000
Br 0.000 0.000 0.500
Br 0.500 0.000 0.000
```

=====

Record 2
An optimized crystal structure of Mg3CrBr. Source: Alexandria via LeMat-Bulk, functional GGA-PBE. Values from VASP.

Values from the calculation:
formation energy (no corrections)	0.461	eV per atom
size of the total moment	4.88	μB per cell
VASP energy	-2.755	eV per atom
E above lowest polymorph	0.0	meV per atom
crystal system	cubic

Quantum ESPRESSO input file:
```
&SYSTEM
  ibrav = 0, nat = 5, ntyp = 3
/
ATOMIC_SPECIES
Br 79.90 Br.upf
Mg 24.30 Mg.upf
Cr 52.00 Cr.upf
CELL_PARAMETERS angstrom
-0.602 -2.981 4.487
5.329 -0.990 0.057
0.788 4.418 3.041
ATOMIC_POSITIONS crystal
Br 0.500 0.500 0.500
Mg 0.500 0.000 0.000
Mg 0.000 0.000 0.500
Cr 0.000 0.000 0.000
Mg 0.000 0.500 0.000
```

=====

Record 3
An optimized crystal structure of Tb2HgI. Source: Alexandria via LeMat-Bulk, functional GGA-PBE. Values from VASP.

Values from the calculation:
formation energy (no corrections)	-0.558	eV per atom
size of the total moment	0.00	μB per cell
VASP energy	-3.336	eV per atom
E above lowest polymorph	20.9	meV per atom
crystal system	trigonal

Quantum ESPRESSO input file:
```
&SYSTEM
  ibrav = 0, nat = 4, ntyp = 3
/
ATOMIC_SPECIES
I 126.90 I.upf
Hg 200.59 Hg.upf
Tb 158.93 Tb.upf
CELL_PARAMETERS angstrom
-3.388 -1.874 -1.850
-2.475 -2.674 2.266
-6.364 4.363 2.260
ATOMIC_POSITIONS crystal
I 0.500 0.500 0.500
Hg 0.000 0.000 0.000
Tb 0.260 0.260 0.220
Tb 0.740 0.740 0.780
```

=====

Record 4
An optimized crystal structure of SrBiF2. Source: Alexandria via LeMat-Bulk, functional GGA-PBE. Values from VASP.

Values from the calculation:
formation energy (no corrections)	-1.721	eV per atom
size of the total moment	1.05	μB per cell
VASP energy	-4.047	eV per atom
E above lowest polymorph	837.5	meV per atom
crystal system	cubic

Quantum ESPRESSO input file:
```
&SYSTEM
  ibrav = 0, nat = 4, ntyp = 3
/
ATOMIC_SPECIES
Bi 208.98 Bi.upf
Sr 87.62 Sr.upf
F 19.00 F.upf
CELL_PARAMETERS angstrom
-1.761 -3.445 3.004
-1.682 1.240 4.430
-4.803 -0.206 0.942
ATOMIC_POSITIONS crystal
Bi 0.500 0.500 0.500
Sr 0.000 0.000 0.000
F 0.750 0.750 0.750
F 0.250 0.250 0.250
```

=====

Record 5
An optimized crystal structure of Lu2BiAu. Source: Alexandria via LeMat-Bulk, functional GGA-PBE. Values from VASP.

Values from the calculation:
size of the total moment	0.00	μB per cell
VASP energy	-4.710	eV per atom
E_form	-0.660	eV/atom
crystal system	trigonal

Quantum ESPRESSO input file:
```
&SYSTEM
  ibrav = 0, nat = 4, ntyp = 3
/
ATOMIC_SPECIES
Bi 208.98 Bi.upf
Lu 174.97 Lu.upf
Au 196.97 Au.upf
CELL_PARAMETERS angstrom
4.357 0.000 0.000
2.178 3.773 0.000
2.178 1.258 6.741
ATOMIC_POSITIONS crystal
Bi 0.500 0.500 0.500
Lu 0.740 0.740 0.780
Au 0.000 0.000 0.000
Lu 0.260 0.260 0.220
```

=====

Record 6
An optimized crystal structure of Ni4Pt11Rh9. Source: Alexandria via LeMat-Bulk, functional GGA-PBE. Values from VASP.

Values from the calculation:
size of the total moment	9.37	μB per cell
VASP energy	-6.442	eV per atom
E_form	0.047	eV/atom
crystal system	orthorhombic

Quantum ESPRESSO input file:
```
&SYSTEM
  ibrav = 0, nat = 24, ntyp = 3
/
ATOMIC_SPECIES
Ni 58.69 Ni.upf
Pt 195.08 Pt.upf
Rh 102.91 Rh.upf
CELL_PARAMETERS angstrom
-0.276 -2.291 1.480
9.882 -4.474 -5.082
1.611 6.302 10.059
ATOMIC_POSITIONS crystal
Ni 0.500 0.579 0.763
Pt 0.000 0.183 0.817
Pt 0.000 0.760 0.760
Pt 0.000 0.966 0.598
Pt 0.000 0.617 0.383
Pt 0.000 0.034 0.402
Rh 0.500 0.796 0.974
Rh 0.500 0.387 0.822
Rh 0.500 0.178 0.613
Rh 0.500 0.822 0.387
Pt 0.000 0.598 0.966
Rh 0.500 0.613 0.178
Rh 0.500 0.500 0.500
Pt 0.000 0.817 0.183
Pt 0.000 0.000 0.000
Pt 0.000 0.402 0.034
Pt 0.000 0.240 0.240
Rh 0.500 0.204 0.026
Rh 0.500 0.974 0.796
Rh 0.500 0.026 0.204
Ni 0.500 0.237 0.421
Ni 0.500 0.763 0.579
Pt 0.000 0.383 0.617
Ni 0.500 0.421 0.237
```